Version i
Entry from Alexandria: a relaxed structure of LiSe2F (PBE).

DOS at the Fermi energy in states/eV per atom: 0.872
V in Å³ per cell: 271.23

```
data_LiSe2F
_chemical_formula_sum 'Li3 Se6 F3'
_space_group_name_H-M_alt 'R -3 m'
_space_group_IT_number 166
_space_group_name_Hall '-R 3 2"'
_cell_length_a 4.0857
_cell_length_b 4.0857
_cell_length_c 18.7622
_cell_angle_alpha 90.00
_cell_angle_beta 90.00
_cell_angle_gamma 120.00
loop_
_atom_site_label
_atom_site_type_symbol
_atom_site_fract_x
_atom_site_fract_y
_atom_site_fract_z
_atom_site_occupancy
Li1 Li 0.0000 0.0000 0.0000 1
Se1 Se 0.0000 0.0000 0.3877 1
F1 F 0.0000 0.0000 0.5000 1
```

***

Version ii
Entry from Alexandria: a relaxed structure of LiSe2F (PBE).

DOS at the Fermi energy in states/eV per atom: 0.585
V in Å³ per cell: 246.54

```
data_LiSe2F
_chemical_formula_sum 'Li4 Se8 F4'
_space_group_name_H-M_alt 'F m -3 m'
_space_group_IT_number 225
_space_group_name_Hall '-F 4 2 3'
_cell_length_a 6.270
_cell_length_b 6.270
_cell_length_c 6.270
_cell_angle_alpha 90.00
_cell_angle_beta 90.00
_cell_angle_gamma 90.00
loop_
_atom_site_label
_atom_site_type_symbol
_atom_site_fract_x
_atom_site_fract_y
_atom_site_fract_z
_atom_site_occupancy
Li1 Li 0.000 0.000 0.000 1
Se1 Se 0.250 0.250 0.250 1
F1 F 0.000 0.000 0.500 1
```

***

The energetic minimum among the shown structures is version i; the next structure lies 7.8 kJ/mol of atoms above.